1.
Below is a relaxed structure of SmTh4Pd15, with properties calculated at the GGA-PBE level.

Cell lengths 4.204, 4.204, 21.107 Å; angles 90.00, 90.00, 90.00 degrees
Fractional positions:
1 Sm 0.000 0.000 0.000
2 Th 0.000 0.000 0.197
3 Th 0.000 0.000 0.399
4 Th 0.000 0.000 0.601
5 Th 0.000 0.000 0.803
6 Pd 0.500 0.500 0.000
7 Pd 0.500 0.500 0.201
8 Pd 0.500 0.500 0.400
9 Pd 0.500 0.500 0.600
10 Pd 0.500 0.500 0.799
11 Pd 0.500 0.000 0.101
12 Pd 0.500 0.000 0.300
13 Pd 0.500 0.000 0.500
14 Pd 0.500 0.000 0.700
15 Pd 0.500 0.000 0.899
16 Pd 0.000 0.500 0.101
17 Pd 0.000 0.500 0.300
18 Pd 0.000 0.500 0.500
19 Pd 0.000 0.500 0.700
20 Pd 0.000 0.500 0.899

Results
Volume   18.649 Å³ per atom
Space-group type   P4/mmm, No. 123
Electronic total energy   -130.728 eV per cell


2.
Below is a relaxed structure of Gd2BeGa, with properties calculated at the GGA-PBE level.

Cell lengths 3.511, 3.511, 7.139 Å; angles 90.00, 90.00, 90.00 degrees
Fractional positions:
1 Be 0.500 0.500 0.000
2 Gd 0.000 0.000 0.765
3 Gd 0.000 0.000 0.235
4 Ga 0.500 0.500 0.500

Results
Volume   22.002 Å³ per atom
E above lowest polymorph   0.0 kJ/mol of formula units
Space-group type   P4/mmm, No. 123
Electronic total energy   -35.871 eV per cell


3.
Below is a relaxed structure of CaMg, with properties calculated at the GGA-PBE level.

Cell lengths 6.681, 6.681, 12.787 Å; angles 141.15, 141.15, 35.10 degrees
Fractional positions:
1 Ca 0.982 0.982 0.935
2 Ca 0.121 0.121 0.772
3 Ca 0.653 0.653 0.294
4 Mg 0.267 0.267 0.590
5 Mg 0.478 0.478 0.435
6 Mg 0.832 0.832 0.141

Results
Volume   31.560 Å³ per atom
Space-group type   Cm, No. 8
Electronic total energy   -11.027 eV per cell